1.
# TaTlCl

A relaxed structure of TaTlCl (PBE-GGA, Alexandria).

Structure (POSCAR):
```
TaTlCl
1.0
0.000 3.311 3.311
3.311 0.000 3.311
3.311 3.311 0.000
Ta Tl Cl
1 1 1
direct
0.000 0.000 0.000
0.750 0.750 0.750
0.250 0.250 0.250
```

Output
Theoretical density in kg/m³: 9623
Final energy in eV/atom: -4.385
E_form (uncorrected) in eV/f.u.: 2.909

***

2.
# Ta2TlCl

A relaxed structure of Ta2TlCl (PBE-GGA, Alexandria).

Structure (POSCAR):
```
Ta2TlCl
1.0
1.540 0.889 10.846
-1.540 0.889 10.846
0.000 -1.778 10.846
Ta Tl Cl
2 1 1
direct
0.000 0.000 0.000
0.257 0.257 0.257
0.510 0.510 0.510
0.721 0.721 0.721
```

Output
Theoretical density in kg/m³: 11217
Final energy in eV/atom: -6.998
E_form (uncorrected) in eV/f.u.: -0.075

***

3.
# TaTlCl

A relaxed structure of TaTlCl (PBE-GGA, Alexandria).

Structure (POSCAR):
```
TaTlCl
1.0
-1.516 1.516 7.806
1.516 -1.516 7.806
1.516 1.516 -7.806
Ta Tl Cl
1 1 1
direct
0.000 0.000 0.000
0.660 0.660 0.000
0.402 0.402 0.000
```

Output
Theoretical density in kg/m³: 9735
Final energy in eV/atom: -5.189
E_form (uncorrected) in eV/f.u.: 0.499

***

4.
# Ta2TlCl

A relaxed structure of Ta2TlCl (PBE-GGA, Alexandria).

Structure (POSCAR):
```
Ta2TlCl
1.0
3.013 0.000 0.000
0.000 4.240 0.000
-0.480 0.000 6.065
Ta Tl Cl
2 1 1
direct
0.057 0.000 0.271
0.943 0.000 0.729
0.500 0.500 0.000
0.000 0.500 0.500
```

Output
Theoretical density in kg/m³: 12894
Final energy in eV/atom: -6.450
E_form (uncorrected) in eV/f.u.: 2.117

***

5.
# Ta2TlCl

A relaxed structure of Ta2TlCl (PBE-GGA, Alexandria).

Structure (POSCAR):
```
Ta2TlCl
1.0
4.716 0.000 0.000
0.000 1.488 5.774
0.000 -1.488 5.774
Ta Tl Cl
2 1 1
direct
0.000 0.000 0.000
0.500 0.394 0.394
0.500 0.651 0.651
0.000 0.325 0.325
```

Output
Theoretical density in kg/m³: 12332
Final energy in eV/atom: -6.674
E_form (uncorrected) in eV/f.u.: 1.223

***

6.
# Ta2Tl2Cl

A relaxed structure of Ta2Tl2Cl (PBE-GGA, Alexandria).

Structure (POSCAR):
```
Ta2Tl2Cl
1.0
-2.105 2.105 6.745
2.105 -2.105 6.745
2.105 2.105 -6.745
Ta Tl Cl
2 2 1
direct
0.094 0.094 0.000
0.906 0.906 0.000
0.250 0.750 0.500
0.750 0.250 0.500
0.500 0.500 0.000
```

Output
Theoretical density in kg/m³: 11193
Final energy in eV/atom: -4.985
E_form (uncorrected) in eV/f.u.: 5.359

***

no.,energy above the most stable polymorph in this dataset (meV per atom)
1,1080
2,0
3,276
4,548
5,325
6,567